No. 1
A plane-wave DFT calculation with PBE-GGA was carried out for a geometry-optimized FeCo5Ir4 structure.

a = 8.1826 Å, b = 4.4353 Å, c = 7.2807 Å
α = 90.00°, β = 90.00°, γ = 90.00°
With the nearest neighbours (Å) after each atom.
Fractional coordinates of all 20 atoms:
1 Fe 0.0000 0.5221 0.0000  4 Ir 2.52-2.64, 4 Co 2.53
2 Fe 0.5000 0.4779 0.5000  4 Ir 2.52-2.64, 4 Co 2.53
3 Co 0.2486 0.7194 0.1670  3 Co 2.29-2.43, 2 Ir 2.48-2.53, 1 Fe 2.53
4 Co 0.7513 0.7194 0.1670  3 Co 2.29-2.43, 2 Ir 2.48-2.53, 1 Fe 2.53
5 Co 0.5000 0.7069 0.0000  4 Co 2.39, 6 Ir 2.53-2.65
6 Co 0.2486 0.7194 0.8330  3 Co 2.29-2.43, 2 Ir 2.48-2.53, 1 Fe 2.53
7 Co 0.7513 0.7194 0.8330  3 Co 2.29-2.43, 2 Ir 2.48-2.53, 1 Fe 2.53
8 Co 0.2514 0.2806 0.6670  3 Co 2.29-2.43, 2 Ir 2.48-2.53, 1 Fe 2.53
9 Co 0.7487 0.2806 0.6670  3 Co 2.29-2.43, 2 Ir 2.48-2.53, 1 Fe 2.53
10 Co 0.0000 0.2931 0.5000  4 Co 2.39, 6 Ir 2.53-2.65
11 Co 0.7487 0.2806 0.3330  3 Co 2.29-2.43, 2 Ir 2.48-2.53, 1 Fe 2.53
12 Co 0.2514 0.2806 0.3330  3 Co 2.29-2.43, 2 Ir 2.48-2.53, 1 Fe 2.53
13 Ir 0.0000 0.0382 0.1813  5 Co 2.48-2.58, 2 Fe 2.52-2.64, 1 Ir 2.64
14 Ir 0.3362 0.2225 0.0000  8 Co 2.53-2.65, 1 Ir 2.68
15 Ir 0.6638 0.2225 0.0000  8 Co 2.53-2.65, 1 Ir 2.68
16 Ir 0.0000 0.0382 0.8187  5 Co 2.48-2.58, 2 Fe 2.52-2.64, 1 Ir 2.64
17 Ir 0.5000 0.9618 0.6813  5 Co 2.48-2.58, 2 Fe 2.52-2.64, 1 Ir 2.64
18 Ir 0.1638 0.7775 0.5000  8 Co 2.53-2.65, 1 Ir 2.68
19 Ir 0.8362 0.7775 0.5000  8 Co 2.53-2.65, 1 Ir 2.68
20 Ir 0.5000 0.9618 0.3187  5 Co 2.48-2.58, 2 Fe 2.52-2.64, 1 Ir 2.64

## Properties
ΔH_f (0 K): 0.25 eV/atom

---

No. 2
A plane-wave DFT calculation with PBE-GGA was carried out for a geometry-optimized CaAlSe2 structure.

a = 5.0618 Å, b = 5.0621 Å, c = 3.6449 Å
α = 80.41°, β = 80.41°, γ = 89.37°
With the nearest neighbours (Å) after each atom.
Fractional coordinates of all 4 atoms:
1 Ca 0.0000 0.5000 0.5000  4 Se 2.86
2 Al 0.5000 0.0000 0.5000  4 Se 2.86
3 Se 0.0000 0.0000 0.0000  2 Al 2.86, 2 Ca 2.86
4 Se 0.5000 0.5000 0.0000  2 Ca 2.86, 2 Al 2.86

## Properties
electronic total energy: -4.03 eV per atom

---

No. 3
A plane-wave DFT calculation with PBE-GGA was carried out for a geometry-optimized TmSeF2 structure.

a = 3.8082 Å, b = 5.7728 Å, c = 6.4932 Å
α = 90.00°, β = 90.00°, γ = 109.27°
With the nearest neighbours (Å) after each atom.
Fractional coordinates of all 8 atoms:
1 Tm 0.7606 0.5213 0.7500  6 F 2.19-2.30
2 Tm 0.2394 0.4787 0.2500  6 F 2.19-2.30
3 Se 0.9743 0.9485 0.2500  3 Tm 2.89-3.19
4 Se 0.0257 0.0515 0.7500  3 Tm 2.89-3.19
5 F 0.3072 0.6143 0.5672  3 Tm 2.19-2.30, 3 F 2.37-2.44
6 F 0.6928 0.3857 0.4328  3 Tm 2.19-2.30, 3 F 2.37-2.44
7 F 0.3072 0.6143 0.9328  3 Tm 2.19-2.30, 3 F 2.37-2.44
8 F 0.6928 0.3857 0.0672  3 Tm 2.19-2.30, 3 F 2.37-2.44

## Properties
electronic total energy: -5.87 eV per atom

---

No. 4
A plane-wave DFT calculation with PBE-GGA was carried out for a geometry-optimized Sr2BiAu10 structure.

a = 5.6636 Å, b = 5.7890 Å, c = 19.7011 Å
α = 90.00°, β = 117.40°, γ = 90.00°
With the nearest neighbours (Å) after each atom.
Fractional coordinates of all 26 atoms:
1 Sr 0.5100 0.3792 0.8643  11 Au 3.12-3.42
2 Sr 0.4900 0.6208 0.1357  11 Au 3.12-3.42
3 Sr 0.4900 0.8792 0.6357  11 Au 3.12-3.42
4 Sr 0.5100 0.1208 0.3643  11 Au 3.12-3.42
5 Bi 0.0000 0.5000 0.5000  6 Au 2.96-3.17
6 Bi 0.0000 0.0000 0.0000  6 Au 2.96-3.17
7 Au 0.8340 0.9452 0.5387  5 Au 2.86-3.05, 1 Bi 2.96
8 Au 0.1660 0.0548 0.4613  5 Au 2.86-3.05, 1 Bi 2.96
9 Au 0.1660 0.4452 0.9613  5 Au 2.86-3.05, 1 Bi 2.96
10 Au 0.8340 0.5548 0.0387  5 Au 2.86-3.05, 1 Bi 2.96
11 Au 0.0606 0.1412 0.6890  7 Au 2.81-2.97
12 Au 0.9394 0.8588 0.3110  7 Au 2.81-2.97
13 Au 0.5246 0.1222 0.1996  5 Au 2.81-2.90, 2 Sr 3.12-3.13
14 Au 0.3946 0.8576 0.9338  6 Au 2.84-2.97, 2 Bi 3.17
15 Au 0.4754 0.6222 0.3004  5 Au 2.81-2.90, 2 Sr 3.12-3.13
16 Au 0.6055 0.3576 0.5662  6 Au 2.84-2.97, 2 Bi 3.17
17 Au 0.4754 0.8778 0.8004  5 Au 2.81-2.90, 2 Sr 3.12-3.13
18 Au 0.6054 0.1424 0.0662  6 Au 2.84-2.97, 2 Bi 3.17
19 Au 0.5246 0.3778 0.6996  5 Au 2.81-2.90, 2 Sr 3.12-3.13
20 Au 0.3945 0.6424 0.4338  6 Au 2.84-2.97, 2 Bi 3.17
21 Au 0.0528 0.8707 0.1786  7 Au 2.83-3.05
22 Au 0.9472 0.1293 0.8214  7 Au 2.83-3.05
23 Au 0.9471 0.3707 0.3214  7 Au 2.83-3.05
24 Au 0.0529 0.6293 0.6786  7 Au 2.83-3.05
25 Au 0.0606 0.3588 0.1890  7 Au 2.81-2.97
26 Au 0.9394 0.6412 0.8110  7 Au 2.81-2.97

## Properties
ΔH_f (0 K): -0.35 eV/atom

---

No. 5
A plane-wave DFT calculation with PBE-GGA was carried out for a geometry-optimized PdRh2Pb2 structure.

a = 7.6821 Å, b = 7.6821 Å, c = 3.2122 Å
α = 90.00°, β = 90.00°, γ = 90.00°
With the nearest neighbours (Å) after each atom.
Fractional coordinates of all 10 atoms:
1 Pb 0.1672 0.6672 0.5000  6 Rh 2.70-2.82
2 Pb 0.6672 0.8328 0.5000  6 Rh 2.70-2.82
3 Pb 0.8328 0.3328 0.5000  6 Rh 2.70-2.82
4 Pb 0.3328 0.1672 0.5000  6 Rh 2.70-2.82
5 Rh 0.3668 0.8668 0.0000  6 Pb 2.70-2.82, 1 Rh 2.89, 2 Pd 3.00
6 Rh 0.8668 0.6332 0.0000  6 Pb 2.70-2.82, 1 Rh 2.89, 2 Pd 3.00
7 Rh 0.6332 0.1332 0.0000  6 Pb 2.70-2.82, 1 Rh 2.89, 2 Pd 3.00
8 Rh 0.1332 0.3668 0.0000  6 Pb 2.70-2.82, 1 Rh 2.89, 2 Pd 3.00
9 Pd 0.0000 0.0000 0.0000  4 Rh 3.00, 2 Pd 3.21, 8 Pb 3.28
10 Pd 0.5000 0.5000 0.0000  4 Rh 3.00, 2 Pd 3.21, 8 Pb 3.28

## Properties
ΔH_f (0 K): 0.04 eV/atom

---

No. 6
A plane-wave DFT calculation with PBE-GGA was carried out for a geometry-optimized K6Br2OF2 structure.

a = 7.0354 Å, b = 7.0354 Å, c = 7.9287 Å
α = 99.11°, β = 99.11°, γ = 119.60°
With the nearest neighbours (Å) after each atom.
Fractional coordinates of all 11 atoms:
1 K 0.7554 0.7554 0.6835  1 O 2.59, 2 F 2.78
2 K 0.0535 0.3823 0.6868  1 O 2.67, 2 F 2.74-2.84
3 K 0.2446 0.2446 0.3165  1 O 2.59, 2 F 2.78
4 K 0.3823 0.0535 0.6868  1 O 2.67, 2 F 2.74-2.84
5 K 0.9465 0.6177 0.3132  1 O 2.67, 2 F 2.74-2.84
6 K 0.6177 0.9465 0.3132  1 O 2.67, 2 F 2.74-2.84
7 Br 0.8284 0.1716 0.0000  6 K 3.30-3.32
8 Br 0.1716 0.8284 0.0000  6 K 3.30-3.32
9 O 0.0000 0.0000 0.5000  6 K 2.59-2.67
10 F 0.3359 0.6641 0.5000  6 K 2.74-2.84
11 F 0.6641 0.3359 0.5000  6 K 2.74-2.84

## Properties
electronic total energy: -3.57 eV per atom

---

Results for magnetization: 1.2806 0.0000 0.0000 0.0000 0.0000 0.0129 (in μB per atom, following the order of the records).